# Cs2BaTaO4

A relaxed structure of Cs2BaTaO4 (PBE, Alexandria via LeMat-Bulk).

```
Cs2BaTaO4
1.0
-3.595 3.595 4.233
3.595 -3.595 4.233
3.595 3.595 -4.233
Cs Ba Ta O
2 1 1 4
Cartesian
0.000 0.000 0.000
0.000 3.595 2.116
0.000 0.000 4.233
3.595 0.000 2.116
2.322 -0.817 3.239
2.779 1.273 0.994
1.273 4.412 -0.994
0.817 2.322 5.227
```

Space group: No. 82
E_form (uncorrected) (meV/atom): -2219

---

# CsBa2TaO

A relaxed structure of CsBa2TaO (PBE, Alexandria via LeMat-Bulk).

```
CsBa2TaO
1.0
6.722 0.000 0.000
0.000 6.722 0.000
0.000 0.000 4.570
Cs Ba Ta O
1 2 1 1
Cartesian
0.000 0.000 0.000
0.000 3.361 0.000
3.361 0.000 0.000
3.361 3.361 2.285
0.000 0.000 2.285
```

Space group: No. 123
E_form (uncorrected) (meV/atom): 1072

---

# Cs4Ba3TaO8

A relaxed structure of Cs4Ba3TaO8 (PBE, Alexandria via LeMat-Bulk).

```
Cs4Ba3TaO8
1.0
6.667 -3.851 0.000
6.667 3.851 0.000
-4.451 0.000 6.889
Cs Ba Ta O
4 3 1 8
Cartesian
0.000 0.000 0.000
3.334 1.925 0.000
3.334 -1.925 0.000
6.667 0.000 0.000
-2.225 0.000 3.444
1.108 1.925 3.444
1.108 -1.925 3.444
4.442 0.000 3.444
-0.004 0.000 4.824
3.580 1.492 4.593
2.719 0.000 2.296
5.303 1.492 2.296
3.580 -1.492 4.593
6.164 0.000 4.593
5.303 -1.492 2.296
8.888 0.000 2.065
```

Space group: No. 12
E_form (uncorrected) (meV/atom): -2001

---

# CsBaTa2O7

A relaxed structure of CsBaTa2O7 (PBE, Alexandria via LeMat-Bulk).

```
CsBaTa2O7
1.0
-1.998 1.998 12.537
1.998 -1.998 12.537
1.998 1.998 -12.537
Cs Ba Ta O
1 1 2 7
Cartesian
0.000 0.000 0.000
1.998 0.000 6.269
0.000 1.998 3.880
0.000 1.998 8.658
0.000 0.000 4.214
0.000 0.000 8.316
0.000 1.998 2.078
0.000 0.000 16.758
0.000 1.998 6.269
0.000 0.000 20.861
0.000 1.998 10.459
```

Space group: No. 119
E_form (uncorrected) (meV/atom): -2581

---

# CsBaTaO4

A relaxed structure of CsBaTaO4 (PBE, Alexandria via LeMat-Bulk).

```
CsBaTaO4
1.0
6.895 0.000 0.000
0.000 6.624 0.000
-1.522 0.000 8.106
Cs Ba Ta O
2 2 2 8
Cartesian
0.549 1.656 3.233
4.824 4.968 4.873
0.632 1.656 7.570
4.741 4.968 0.536
1.274 4.968 1.235
4.099 1.656 6.871
-0.150 4.968 2.454
-1.052 4.968 7.665
2.428 3.488 1.360
2.428 6.448 1.360
2.945 0.176 6.746
2.945 3.136 6.746
6.425 1.656 0.441
5.523 1.656 5.652
```

Space group: No. 11
E_form (uncorrected) (meV/atom): -2656

---

# CsBaTcO4

A relaxed structure of CsBaTcO4 (PBE, Alexandria via LeMat-Bulk).

```
CsBaTcO4
1.0
6.749 0.000 0.000
0.000 6.342 0.000
-2.201 0.000 7.814
Cs Ba Tc O
2 2 2 8
Cartesian
0.478 1.586 3.332
4.070 4.757 4.481
-0.125 1.586 7.371
4.673 4.757 0.443
1.260 4.757 1.320
3.288 1.586 6.494
-1.568 4.757 7.410
-0.167 4.757 2.471
2.502 3.362 1.502
2.502 6.151 1.502
2.046 0.191 6.311
2.046 2.980 6.311
4.715 1.586 5.343
6.116 1.586 0.404
```

Space group: No. 11
E_form (uncorrected) (meV/atom): -1873

---

# CsBaTc2O8

A relaxed structure of CsBaTc2O8 (PBE, Alexandria via LeMat-Bulk).

```
CsBaTc2O8
1.0
5.489 -3.156 0.000
5.489 3.156 0.000
-3.588 0.000 7.189
Cs Ba Tc O
1 1 2 8
Cartesian
0.000 0.000 0.000
3.695 0.000 3.594
0.033 0.000 4.951
7.358 0.000 2.238
2.707 1.702 1.684
0.021 0.000 3.188
1.716 0.000 5.493
4.684 1.702 5.505
2.707 -1.702 1.684
5.675 0.000 1.696
7.370 0.000 4.001
4.684 -1.702 5.505
```

Space group: No. 12
E_form (uncorrected) (meV/atom): -1832

---

# Cs4Ba3TcO8

A relaxed structure of Cs4Ba3TcO8 (PBE, Alexandria via LeMat-Bulk).

```
Cs4Ba3TcO8
1.0
3.844 2.219 6.852
-3.844 2.219 6.852
0.000 -4.438 6.852
Cs Ba Tc O
4 3 1 8
Cartesian
0.000 0.000 0.000
-1.922 -1.110 6.852
-1.922 1.110 13.704
0.000 2.219 6.852
-3.844 0.000 10.278
-1.922 1.110 3.426
1.922 1.110 3.426
0.000 0.000 10.278
0.000 0.000 4.782
-1.437 -0.830 11.402
0.000 -1.659 9.154
-1.437 0.830 9.154
1.437 -0.830 11.402
0.000 1.659 11.402
1.437 0.830 9.154
0.000 0.000 15.774
```

Space group: No. 166
E_form (uncorrected) (meV/atom): -1688

---

# Cs3BaTc2O8

A relaxed structure of Cs3BaTc2O8 (PBE, Alexandria via LeMat-Bulk).

```
Cs3BaTc2O8
1.0
6.620 0.000 0.000
-3.310 5.733 0.000
0.000 0.000 8.572
Cs Ba Tc O
3 1 2 8
Cartesian
0.000 0.000 0.000
0.000 3.822 5.877
3.310 1.911 2.695
0.000 0.000 4.286
0.000 3.822 1.974
3.310 1.911 6.598
0.000 2.119 2.660
-1.475 4.674 2.660
0.000 3.822 0.196
1.835 1.060 5.912
1.475 4.674 2.660
3.310 1.911 8.376
4.785 1.060 5.912
3.310 3.614 5.912
```

Space group: No. 164
E_form (uncorrected) (meV/atom): -1792

---

# Cs2BaTcO6

A relaxed structure of Cs2BaTcO6 (PBE, Alexandria via LeMat-Bulk).

```
Cs2BaTcO6
1.0
3.393 1.959 10.807
-3.393 1.959 10.807
0.000 -3.918 10.807
Cs Ba Tc O
4 2 2 12
Cartesian
0.000 0.000 4.318
0.000 0.000 8.619
0.000 0.000 23.801
0.000 0.000 28.102
0.000 0.000 12.884
0.000 0.000 19.536
0.000 0.000 0.000
0.000 0.000 16.210
0.000 -2.382 11.910
-2.063 1.191 11.910
-1.341 -0.774 15.094
-2.063 -1.191 20.510
0.000 -1.548 17.326
-1.341 0.774 17.326
1.341 -0.774 15.094
0.000 1.548 15.094
2.063 1.191 11.910
1.341 0.774 17.326
2.063 -1.191 20.510
0.000 2.382 20.510
```

Space group: No. 166
E_form (uncorrected) (meV/atom): -1573

---

# CsBa2TcO6

A relaxed structure of CsBa2TcO6 (PBE, Alexandria via LeMat-Bulk).

```
CsBa2TcO6
1.0
6.091 0.000 0.000
0.000 6.838 0.000
-5.954 0.000 9.106
Cs Ba Tc O
2 4 2 12
Cartesian
0.000 0.000 0.000
-2.977 3.419 4.553
-2.998 0.210 6.621
-0.021 3.209 2.068
0.159 3.629 7.038
3.136 6.628 2.485
0.069 0.000 4.553
3.046 3.419 0.000
-1.577 0.959 4.398
-4.554 2.460 8.951
-3.690 4.859 8.104
-0.713 5.398 3.551
0.711 0.785 2.924
-2.266 2.634 7.477
2.404 4.204 1.629
-0.573 6.053 6.182
0.850 1.440 5.555
3.827 1.979 1.002
4.692 4.378 0.155
1.715 5.879 4.708
```

Space group: No. 14
E_form (uncorrected) (meV/atom): -1969

---

# Cs2Ba2TcO6

A relaxed structure of Cs2Ba2TcO6 (PBE, Alexandria via LeMat-Bulk).

```
Cs2Ba2TcO6
1.0
3.263 -5.480 0.000
3.263 5.480 0.000
-1.686 0.000 6.889
Cs Ba Tc O
2 2 1 6
Cartesian
3.263 3.703 0.000
3.263 -3.703 0.000
2.420 1.779 3.445
2.420 -1.779 3.445
-0.843 0.000 3.445
0.010 1.417 4.527
0.743 0.000 2.261
0.010 -1.417 4.527
4.830 1.417 2.363
4.097 0.000 4.629
4.830 -1.417 2.363
```

Space group: No. 12
E_form (uncorrected) (meV/atom): -1838

---

# CsBaTeO4

A relaxed structure of CsBaTeO4 (PBE, Alexandria via LeMat-Bulk).

```
CsBaTeO4
1.0
0.000 5.096 5.096
5.096 0.000 5.096
5.096 5.096 0.000
Cs Ba Te O
1 1 1 4
Cartesian
0.000 0.000 0.000
2.548 2.548 2.548
5.096 5.096 5.096
3.983 3.983 3.983
6.209 6.209 3.983
6.209 3.983 6.209
3.983 6.209 6.209
```

Space group: No. 216
E_form (uncorrected) (meV/atom): -1482

---

# CsBa2TeO6

A relaxed structure of CsBa2TeO6 (PBE, Alexandria via LeMat-Bulk).

```
CsBa2TeO6
1.0
3.362 1.941 5.082
-3.362 1.941 5.082
0.000 -3.882 5.082
Cs Ba Te O
1 2 1 6
Cartesian
0.000 0.000 0.000
0.000 0.000 4.092
0.000 0.000 11.153
0.000 0.000 7.622
-0.782 -1.375 6.468
-1.582 -0.010 8.777
-0.800 1.365 6.468
0.800 -1.365 8.777
1.582 0.010 6.468
0.782 1.375 8.777
```

Space group: No. 148
E_form (uncorrected) (meV/atom): -1809

---

# Cs3BaTe2O8

A relaxed structure of Cs3BaTe2O8 (PBE, Alexandria via LeMat-Bulk).

```
Cs3BaTe2O8
1.0
6.754 0.000 0.000
-3.377 5.849 0.000
0.000 0.000 8.673
Cs Ba Te O
3 1 2 8
Cartesian
0.000 0.000 0.000
0.000 3.900 5.990
3.377 1.950 2.683
0.000 0.000 4.337
0.000 3.900 2.023
3.377 1.950 6.651
0.000 2.129 2.719
-1.533 4.785 2.719
0.000 3.900 0.159
1.844 1.064 5.954
1.533 4.785 2.719
3.377 1.950 8.514
4.911 1.064 5.954
3.377 3.720 5.954
```

Space group: No. 164
E_form (uncorrected) (meV/atom): -1527

---

# Cs3BaTe2O6

A relaxed structure of Cs3BaTe2O6 (PBE, Alexandria via LeMat-Bulk).

```
Cs3BaTe2O6
1.0
6.644 0.000 0.000
-3.322 5.754 0.000
0.000 0.000 8.029
Cs Ba Te O
3 1 2 6
Cartesian
0.000 0.000 0.000
0.000 3.836 5.353
3.322 1.918 2.676
0.000 0.000 4.014
0.000 3.836 1.498
3.322 1.918 6.530
0.000 2.165 2.432
-1.447 4.671 2.432
1.875 1.083 5.597
1.447 4.671 2.432
4.769 1.083 5.597
3.322 3.589 5.597
```

Space group: No. 164
E_form (uncorrected) (meV/atom): -1572

---

# Cs2BaThO4

A relaxed structure of Cs2BaThO4 (PBE, Alexandria via LeMat-Bulk).

```
Cs2BaThO4
1.0
6.837 0.000 0.000
0.000 3.846 0.000
-2.412 0.000 6.967
Cs Ba Th O
2 1 1 4
Cartesian
0.000 0.000 0.000
3.418 1.923 0.000
-1.206 1.923 3.483
2.212 0.000 3.483
0.275 0.000 4.674
1.294 1.923 2.269
3.131 1.923 4.698
4.150 0.000 2.292
```

Space group: No. 10
E_form (uncorrected) (meV/atom): -2479

---

# Cs2BaTiO4

A relaxed structure of Cs2BaTiO4 (PBE, Alexandria via LeMat-Bulk).

```
Cs2BaTiO4
1.0
0.000 6.457 13.153
3.250 0.000 13.153
3.250 6.457 0.000
Cs Ba Ti O
4 2 2 8
Cartesian
2.437 4.842 1.926
4.062 8.071 8.503
2.437 4.842 17.803
4.062 8.071 24.380
0.812 1.614 3.288
5.687 11.299 23.018
2.437 4.842 9.865
4.062 8.071 16.441
3.608 3.730 8.964
3.608 5.955 10.765
5.233 6.958 17.342
5.233 9.183 15.540
1.267 3.730 10.765
1.267 5.955 8.964
2.892 6.958 15.540
2.892 9.183 17.342
```

Space group: No. 70
E_form (uncorrected) (meV/atom): -2137

---

# CsBaU2O7

A relaxed structure of CsBaU2O7 (PBE, Alexandria via LeMat-Bulk).

```
CsBaU2O7
1.0
4.344 0.000 0.000
0.000 4.344 0.000
0.000 0.000 11.375
Cs Ba U O
1 1 2 7
Cartesian
0.000 0.000 0.000
0.000 0.000 5.687
2.172 2.172 3.478
2.172 2.172 7.897
0.000 2.172 3.750
0.000 2.172 7.624
2.172 0.000 3.750
2.172 0.000 7.624
2.172 2.172 1.571
2.172 2.172 5.687
2.172 2.172 9.803
```

Space group: No. 123
E_form (uncorrected) (meV/atom): -3014

---

# CsBa2UO5

A relaxed structure of CsBa2UO5 (PBE, Alexandria via LeMat-Bulk).

```
CsBa2UO5
1.0
-2.233 3.396 6.186
2.233 -3.396 6.186
2.233 3.396 -6.186
Cs Ba U O
1 2 1 5
Cartesian
0.000 0.000 0.000
2.233 0.000 3.401
0.000 3.396 2.785
0.000 0.000 6.186
2.233 1.968 -1.611
2.233 1.968 1.611
0.000 3.396 0.000
0.000 1.428 4.575
0.000 1.428 7.797
```

Space group: No. 71
E_form (uncorrected) (meV/atom): -2784